(i)
First-principles (PBE) data for an optimized crystal structure of Pr3PbO2, as listed in Alexandria via LeMat-Bulk.

Properties
Space-group type: I4/mmm
Density of states at the Fermi level in states/eV/f.u.: 2.589

Unit cell a=4.7978 b=4.7978 c=6.9496 alpha=110.19 beta=110.19 gamma=90.00
Atoms (fractional coordinates):
Pr 0.7500 0.2500 0.5000
Pr 0.5000 0.5000 0.0000
Pr 0.2500 0.7500 0.5000
O 0.6999 0.6999 0.3998
O 0.3001 0.3001 0.6002
Pb 0.0000 0.0000 0.0000

(ii)
First-principles (PBE) data for an optimized crystal structure of Pr3PbO2, as listed in Alexandria via LeMat-Bulk.

Properties
Space-group type: Pmc2_1
Density of states at the Fermi level in states/eV/f.u.: 2.727

Unit cell a=3.5991 b=6.5355 c=11.4701 alpha=90.00 beta=90.00 gamma=90.00
Atoms (fractional coordinates):
Pr 0.0000 0.2653 0.4012
Pr 0.5000 0.7700 0.3358
Pr 0.0000 0.7653 0.5988
Pr 0.5000 0.1030 0.1103
Pr 0.5000 0.2700 0.6642
Pr 0.5000 0.6030 0.8897
O 0.5000 0.5172 0.4971
O 0.5000 0.0172 0.5029
O 0.0000 0.5126 0.7466
O 0.0000 0.0126 0.2534
Pb 0.0000 0.0332 0.8640
Pb 0.0000 0.5332 0.1360

Result of the stability comparison: (ii) is the least stable of them.

(i)
First-principles (PBE) data for an optimized crystal structure of Pr3PbO6, as listed in Alexandria via LeMat-Bulk.

Properties
Space-group type: R-3

Unit cell a=7.1059 b=7.1059 c=7.1059 alpha=93.03 beta=93.03 gamma=93.03
Atoms (fractional coordinates):
Pr 0.9318 0.7466 0.4393
Pr 0.7466 0.4393 0.9318
Pr 0.2534 0.5607 0.0682
Pr 0.4393 0.9318 0.7466
Pr 0.0682 0.2534 0.5607
Pr 0.5607 0.0682 0.2534
O 0.5315 0.4090 0.1985
O 0.0613 0.3343 0.8876
O 0.8015 0.4685 0.5910
O 0.9387 0.6657 0.1124
O 0.5910 0.8015 0.4685
O 0.3343 0.8876 0.0613
O 0.4685 0.5910 0.8015
O 0.8876 0.0613 0.3343
O 0.1124 0.9387 0.6657
O 0.1985 0.5315 0.4090
O 0.6657 0.1124 0.9387
O 0.4090 0.1985 0.5315
Pb 0.0000 0.0000 0.0000
Pb 0.5000 0.5000 0.5000

(ii)
First-principles (PBE) data for an optimized crystal structure of Pr3PbO6, as listed in Alexandria via LeMat-Bulk.

Properties
Space-group type: Cmc2_1
Density of states at the Fermi level in states/eV/f.u.: 1.611

Unit cell a=5.9480 b=7.5743 c=7.5743 alpha=102.68 beta=90.00 gamma=90.00
Atoms (fractional coordinates):
O 0.1968 0.6759 0.6452
O 0.1845 0.1004 0.5785
O 0.7409 0.9868 0.0132
O 0.6968 0.3241 0.3548
O 0.1845 0.4215 0.8996
O 0.6233 0.2241 0.7759
O 0.6845 0.8996 0.4215
O 0.1968 0.3548 0.3241
O 0.6968 0.6452 0.6759
O 0.2409 0.0132 0.9868
O 0.1233 0.7759 0.2241
O 0.6845 0.5785 0.1004
Pr 0.9756 0.0902 0.3075
Pr 0.4756 0.9098 0.6925
Pr 0.9756 0.6925 0.9098
Pr 0.4756 0.3075 0.0902
Pr 0.9209 0.6005 0.3995
Pr 0.4209 0.3995 0.6005
Pb 0.9863 0.1663 0.8337
Pb 0.4863 0.8337 0.1663

Result of the stability comparison: (ii) is the least stable of them.

(i)
First-principles (PBE) data for an optimized crystal structure of Pt3PbO, as listed in Alexandria via LeMat-Bulk.

Properties
Space-group type: Pm-3m
Density of states at the Fermi level in states/eV/f.u.: 8.275

Unit cell a=5.0996 b=5.0996 c=5.0996 alpha=90.00 beta=90.00 gamma=90.00
Atoms (fractional coordinates):
O 0.5000 0.5000 0.5000
Pt 0.0000 0.0000 0.5000
Pt 0.5000 0.0000 0.0000
Pt 0.0000 0.5000 0.0000
Pb 0.0000 0.0000 0.0000

(ii)
First-principles (PBE) data for an optimized crystal structure of Pt3PbO, as listed in Alexandria via LeMat-Bulk.

Properties
Space-group type: Pm-3m
Density of states at the Fermi level in states/eV/f.u.: 4.958

Unit cell a=4.4253 b=4.4253 c=4.4253 alpha=90.00 beta=90.00 gamma=90.00
Atoms (fractional coordinates):
Pb 0.5000 0.5000 0.5000
Pt 0.5000 0.0000 0.0000
Pt 0.0000 0.0000 0.5000
Pt 0.0000 0.5000 0.0000
O 0.0000 0.0000 0.0000

Result of the stability comparison: (i) is the least stable of them.

(i)
First-principles (PBE) data for an optimized crystal structure of PtPb2O2, as listed in Alexandria via LeMat-Bulk.

Properties
Space-group type: I4/mmm
Density of states at the Fermi level in states/eV/f.u.: 0.439

Unit cell a=5.1040 b=5.1040 c=5.3148 alpha=61.30 beta=61.30 gamma=90.00
Atoms (fractional coordinates):
O 0.2644 0.2644 0.4711
O 0.7356 0.7356 0.5289
Pt 0.0000 0.0000 0.0000
Pb 0.7500 0.2500 0.5000
Pb 0.2500 0.7500 0.5000

(ii)
First-principles (PBE) data for an optimized crystal structure of PtPb2O2, as listed in Alexandria via LeMat-Bulk.

Properties
Space-group type: P4/mbm
Density of states at the Fermi level in states/eV/f.u.: 0.877

Unit cell a=7.0061 b=7.0061 c=3.6006 alpha=90.00 beta=90.00 gamma=90.00
Atoms (fractional coordinates):
Pb 0.8306 0.3306 0.5000
Pb 0.1694 0.6694 0.5000
Pb 0.3306 0.1694 0.5000
Pb 0.6694 0.8306 0.5000
O 0.3232 0.8232 0.0000
O 0.6768 0.1768 0.0000
O 0.8232 0.6768 0.0000
O 0.1768 0.3232 0.0000
Pt 0.5000 0.5000 0.0000
Pt 0.0000 0.0000 0.0000

Result of the stability comparison: (ii) is the least stable of them.

(i)
First-principles (PBE) data for an optimized crystal structure of PtPb3O, as listed in Alexandria via LeMat-Bulk.

Properties
Space-group type: Pm-3m
Density of states at the Fermi level in states/eV/f.u.: 3.718

Unit cell a=4.9119 b=4.9119 c=4.9119 alpha=90.00 beta=90.00 gamma=90.00
Atoms (fractional coordinates):
Pb 0.5000 0.0000 0.0000
Pb 0.0000 0.5000 0.0000
Pb 0.0000 0.0000 0.5000
Pt 0.5000 0.5000 0.5000
O 0.0000 0.0000 0.0000

(ii)
First-principles (PBE) data for an optimized crystal structure of PtPb3O, as listed in Alexandria via LeMat-Bulk.

Properties
Space-group type: Pm-3m
Density of states at the Fermi level in states/eV/f.u.: 4.493

Unit cell a=5.3541 b=5.3541 c=5.3541 alpha=90.00 beta=90.00 gamma=90.00
Atoms (fractional coordinates):
Pb 0.5000 0.0000 0.0000
Pb 0.0000 0.5000 0.0000
Pb 0.0000 0.0000 0.5000
Pt 0.0000 0.0000 0.0000
O 0.5000 0.5000 0.5000

Result of the stability comparison: (ii) is the least stable of them.

(i)
First-principles (PBE) data for an optimized crystal structure of PtPb2O4, as listed in Alexandria via LeMat-Bulk.

Properties
Space-group type: I4/mmm
Density of states at the Fermi level in states/eV/f.u.: 5.134

Unit cell a=4.0815 b=4.0815 c=6.9711 alpha=72.98 beta=72.98 gamma=90.00
Atoms (fractional coordinates):
Pb 0.6465 0.6465 0.7069
Pb 0.3535 0.3535 0.2931
O 0.0000 0.5000 0.0000
O 0.5000 0.0000 0.0000
O 0.1613 0.1613 0.6774
O 0.8387 0.8387 0.3226
Pt 0.0000 0.0000 0.0000

(ii)
First-principles (PBE) data for an optimized crystal structure of PtPb2O4, as listed in Alexandria via LeMat-Bulk.

Properties
Space-group type: Pbam

Unit cell a=6.4381 b=8.2627 c=9.1106 alpha=90.00 beta=90.00 gamma=90.00
Atoms (fractional coordinates):
Pb 0.5000 0.1471 0.6516
Pb 0.5000 0.3529 0.1516
Pb 0.5000 0.6471 0.8484
Pb 0.0000 0.8822 0.6713
Pb 0.5000 0.8529 0.3484
Pb 0.0000 0.6178 0.1713
Pb 0.0000 0.1178 0.3287
Pb 0.0000 0.3822 0.8287
O 0.7497 0.3337 0.6657
O 0.0000 0.3969 0.3934
O 0.0000 0.6031 0.6066
O 0.5000 0.8777 0.0896
O 0.7497 0.1663 0.1657
O 0.5000 0.3777 0.4104
O 0.7497 0.6663 0.3343
O 0.5000 0.1223 0.9104
O 0.0000 0.8969 0.1066
O 0.2503 0.8337 0.8343
O 0.0000 0.1031 0.8934
O 0.2503 0.6663 0.3343
O 0.7497 0.8337 0.8343
O 0.5000 0.6223 0.5896
O 0.2503 0.3337 0.6657
O 0.2503 0.1663 0.1657
Pt 0.2507 0.5000 0.5000
Pt 0.2507 0.0000 0.0000
Pt 0.7493 0.0000 0.0000
Pt 0.7493 0.5000 0.5000

Result of the stability comparison: (i) is the least stable of them.

(i)
First-principles (PBE) data for an optimized crystal structure of Pu2PbO, as listed in Alexandria via LeMat-Bulk.

Properties
Space-group type: Cccm
Density of states at the Fermi level in states/eV/f.u.: 14.037

Unit cell a=5.2810 b=5.5938 c=7.1396 alpha=90.02 beta=111.71 gamma=90.00
Atoms (fractional coordinates):
O 0.3628 0.8712 0.4536
O 0.3633 0.3712 0.4536
Pb 0.8631 0.1213 0.9536
Pb 0.3631 0.6213 0.9536
Pu 0.6994 0.6214 0.6433
Pu 0.0266 0.6210 0.2639
Pu 0.2162 0.1214 0.6433
Pu 0.5096 0.1210 0.2639

(ii)
First-principles (PBE) data for an optimized crystal structure of Pu2PbO, as listed in Alexandria via LeMat-Bulk.

Properties
Space-group type: P4/mmm
Density of states at the Fermi level in states/eV/f.u.: 11.465

Unit cell a=3.1875 b=3.1875 c=8.2228 alpha=90.00 beta=90.00 gamma=90.00
Atoms (fractional coordinates):
O 0.5000 0.5000 0.0000
Pu 0.0000 0.0000 0.1870
Pu 0.0000 0.0000 0.8130
Pb 0.5000 0.5000 0.5000

(iii)
First-principles (PBE) data for an optimized crystal structure of Pu2PbO, as listed in Alexandria via LeMat-Bulk.

Properties
Space-group type: R-3m
Density of states at the Fermi level in states/eV/f.u.: 5.854

Unit cell a=4.1119 b=4.1119 c=6.1700 alpha=70.54 beta=70.54 gamma=60.00
Atoms (fractional coordinates):
Pb 0.0000 0.0000 0.0000
O 0.5000 0.5000 0.5000
Pu 0.1868 0.1868 0.4396
Pu 0.8132 0.8132 0.5604

(iv)
First-principles (PBE) data for an optimized crystal structure of Pu2PbO, as listed in Alexandria via LeMat-Bulk.

Properties
Space-group type: R3m
Density of states at the Fermi level in states/eV/f.u.: 12.717

Unit cell a=3.7221 b=3.7221 c=8.6039 alpha=77.51 beta=77.51 gamma=60.00
Atoms (fractional coordinates):
Pu 0.2640 0.2640 0.2079
Pu 0.0539 0.0539 0.8383
O 0.3554 0.3554 0.9337
Pb 0.8266 0.8266 0.5202

Result of the stability comparison: (iii) is the least stable of them.

(i)
First-principles (PBE) data for an optimized crystal structure of Rb2PbO2, as listed in Alexandria via LeMat-Bulk.

Properties
Space-group type: C2/m

Unit cell a=5.5526 b=7.1531 c=8.2778 alpha=82.70 beta=90.00 gamma=112.84
Atoms (fractional coordinates):
Rb 0.0295 0.0591 0.2403
Rb 0.9705 0.9409 0.7597
Rb 0.3537 0.7075 0.4187
Rb 0.6463 0.2925 0.5813
O 0.4158 0.8316 0.7349
O 0.8228 0.6457 0.3200
O 0.5842 0.1684 0.2651
O 0.1772 0.3543 0.6800
Pb 0.2684 0.5368 0.8705
Pb 0.7316 0.4632 0.1295

(ii)
First-principles (PBE) data for an optimized crystal structure of Rb2PbO2, as listed in Alexandria via LeMat-Bulk.

Properties
Space-group type: I4/mmm
Density of states at the Fermi level in states/eV/f.u.: 3.070

Unit cell a=4.0999 b=4.0999 c=8.4324 alpha=104.07 beta=104.07 gamma=90.00
Atoms (fractional coordinates):
O 0.1390 0.1390 0.2779
O 0.8610 0.8610 0.7221
Rb 0.6723 0.6723 0.3445
Rb 0.3277 0.3277 0.6555
Pb 0.0000 0.0000 0.0000

Result of the stability comparison: (ii) is the least stable of them.